# 1
A geometry-optimized NiSb2TeBr structure, computed with GGA-PBE.

```
NiSb2TeBr
1.0
5.1307 0.0000 0.0000
0.0000 5.1307 0.0000
0.0000 0.0000 5.0055
Ni Sb Te Br
1 2 1 1
direct
0.0000 0.0000 0.0000 Ni
0.0000 0.5000 0.0000 Sb
0.5000 0.0000 0.0000 Sb
0.0000 0.0000 0.5000 Te
0.5000 0.5000 0.5000 Br
```

Output
* final energy: -3.5051 eV per atom
* ΔE to the lowest computed polymorph: 0 meV per atom
* raw formation energy: 263 meV/atom

# 2
A geometry-optimized ScNiBr structure, computed with GGA-PBE.

```
ScNiBr
1.0
4.5743 0.0000 0.0000
0.0000 4.5936 0.0000
0.0000 0.0000 11.6165
Sc Ni Br
4 4 4
direct
0.0000 0.0000 0.0000 Sc
0.0000 0.5000 0.5000 Sc
0.5000 0.0000 0.5000 Sc
0.5000 0.5000 0.0000 Sc
0.0000 0.0000 0.6189 Ni
0.0000 0.5000 0.1189 Ni
0.5000 0.0000 0.1189 Ni
0.5000 0.5000 0.6189 Ni
0.0000 0.0000 0.3415 Br
0.0000 0.5000 0.8415 Br
0.5000 0.0000 0.8415 Br
0.5000 0.5000 0.3415 Br
```

Output
* final energy: -5.0211 eV per atom
* raw formation energy: -426 meV/atom

# 3
A geometry-optimized Sc7NiBr12 structure, computed with GGA-PBE.

```
Sc7NiBr12
1.0
7.0484 4.0694 3.1953
-7.0484 4.0694 3.1953
0.0000 -8.1387 3.1953
Sc Ni Br
7 1 12
direct
0.0000 0.0000 0.0000 Sc
0.1938 0.4697 0.3984 Sc
0.3984 0.1938 0.4697 Sc
0.4697 0.3984 0.1938 Sc
0.5303 0.6016 0.8062 Sc
0.6016 0.8062 0.5303 Sc
0.8062 0.5303 0.6016 Sc
0.5000 0.5000 0.5000 Ni
0.0388 0.1143 0.3417 Br
0.1143 0.3417 0.0388 Br
0.1837 0.5738 0.7199 Br
0.2801 0.8163 0.4262 Br
0.3417 0.0388 0.1143 Br
0.4262 0.2801 0.8163 Br
0.5738 0.7199 0.1837 Br
0.6583 0.9612 0.8857 Br
0.7199 0.1837 0.5738 Br
0.8163 0.4262 0.2801 Br
0.8857 0.6583 0.9612 Br
0.9612 0.8857 0.6583 Br
```

Output
* final energy: -4.9738 eV per atom
* raw formation energy: -1465 meV/atom

# 4
A geometry-optimized ScNi3Br structure, computed with GGA-PBE.

```
ScNi3Br
1.0
4.5953 0.0000 0.0000
0.0000 4.5953 0.0000
0.0000 0.0000 4.5953
Sc Ni Br
1 3 1
direct
0.0000 0.0000 0.0000 Sc
0.0000 0.0000 0.5000 Ni
0.0000 0.5000 0.0000 Ni
0.5000 0.0000 0.0000 Ni
0.5000 0.5000 0.5000 Br
```

Output
* final energy: -3.9875 eV per atom
* ΔE to the lowest computed polymorph: 544 meV per atom
* raw formation energy: 1082 meV/atom

# 5
A geometry-optimized Sc4NiBr5 structure, computed with GGA-PBE.

```
Sc4NiBr5
1.0
8.8129 -1.8636 0.0000
8.8129 1.8636 0.0000
-1.7267 0.0000 7.8068
Sc Ni Br
4 1 5
direct
0.0015 0.0015 0.2115 Sc
0.3574 0.3574 0.9266 Sc
0.6426 0.6426 0.0734 Sc
0.9985 0.9985 0.7885 Sc
0.5000 0.5000 0.0000 Ni
0.1661 0.1661 0.3301 Br
0.1741 0.1741 0.8398 Br
0.5000 0.5000 0.5000 Br
0.8259 0.8259 0.1602 Br
0.8339 0.8339 0.6699 Br
```

Output
* final energy: -5.2078 eV per atom
* raw formation energy: -1261 meV/atom

# 6
A geometry-optimized ScNiBr3 structure, computed with GGA-PBE.

```
ScNiBr3
1.0
5.2985 0.0000 0.0000
0.0000 5.2985 0.0000
0.0000 0.0000 5.2985
Sc Ni Br
1 1 3
direct
0.0000 0.0000 0.0000 Sc
0.5000 0.5000 0.5000 Ni
0.0000 0.0000 0.5000 Br
0.0000 0.5000 0.0000 Br
0.5000 0.0000 0.0000 Br
```

Output
* final energy: -3.7720 eV per atom
* ΔE to the lowest computed polymorph: 0 meV per atom
* raw formation energy: -346 meV/atom

# 7
A geometry-optimized ScNiBr structure, computed with GGA-PBE.

```
ScNiBr
1.0
6.2445 0.0000 0.0000
0.0000 6.2445 0.0000
0.0000 0.0000 6.2445
Sc Ni Br
4 4 4
direct
0.0000 0.0000 0.0000 Sc
0.0000 0.5000 0.5000 Sc
0.5000 0.0000 0.5000 Sc
0.5000 0.5000 0.0000 Sc
0.2500 0.2500 0.7500 Ni
0.2500 0.7500 0.2500 Ni
0.7500 0.2500 0.2500 Ni
0.7500 0.7500 0.7500 Ni
0.0000 0.0000 0.5000 Br
0.0000 0.5000 0.0000 Br
0.5000 0.0000 0.0000 Br
0.5000 0.5000 0.5000 Br
```

Output
* final energy: -4.6405 eV per atom
* raw formation energy: -45 meV/atom

# 8
A geometry-optimized ScNiBr structure, computed with GGA-PBE.

```
ScNiBr
1.0
3.5354 0.0000 0.0000
-1.7677 3.0618 0.0000
0.0000 0.0000 5.8927
Sc Ni Br
1 1 1
direct
0.0000 0.0000 0.0000 Sc
0.3333 0.6667 0.7423 Ni
0.6667 0.3333 0.3276 Br
```

Output
* final energy: -5.1002 eV per atom
* raw formation energy: -505 meV/atom

Question: Which of these has the lowest final energy?
Answer: Sc4NiBr5

Question: Look up the final energy of the second one.
Answer: -5.0211 eV per atom